Fe2CuPd7 after structural relaxation, computed with PBE-GGA.

Values from the calculation:
The density of states at the Fermi level is 8.06 states/eV/f.u. The calculation puts the formation enthalpy at 0 K at 444 kJ/mol of formula units.

```
data_Fe2CuPd7
_cell_length_a 7.2284
_cell_length_b 12.4376
_cell_length_c 4.1496
_cell_angle_alpha 90.00
_cell_angle_beta 90.00
_cell_angle_gamma 90.00
_symmetry_space_group_name_H-M 'C m m m'
_symmetry_Int_Tables_number 65
_symmetry_space_group_name_Hall '-C 2 2'
loop_
_atom_site_label
_atom_site_fract_x
_atom_site_fract_y
_atom_site_fract_z
_atom_site_occupancy
Fe1 0.0000 0.1987 0.0000 1
Cu1 0.0000 0.5000 0.5000 1
Pd1 0.0000 0.0000 0.0000 1
Pd2 0.0000 0.2947 0.5000 1
Pd3 0.1882 0.3879 0.0000 1
```